1.
A relaxed structure of Sr2Cu6P5, computed with PBE.

Cell and atoms, written as CIF:
```
data_Sr2Cu6P5
_chemical_formula_sum 'Sr4 Cu12 P10'
_space_group_name_H-M_alt 'I 4/m m m'
_space_group_IT_number 139
_space_group_name_Hall '-I 4 2'
_cell_length_a 4.111
_cell_length_b 4.111
_cell_length_c 24.715
_cell_angle_alpha 90.00
_cell_angle_beta 90.00
_cell_angle_gamma 90.00
loop_
_atom_site_label
_atom_site_fract_x
_atom_site_fract_y
_atom_site_fract_z
Sr1 0.000 0.000 0.149
Cu1 0.000 0.500 0.052
Cu2 0.000 0.500 0.250
P1 0.000 0.000 0.000
P2 0.000 0.000 0.302
P3 0.000 0.000 0.396
```

Summary:
VASP energy in eV per atom: -4.506
Theoretical density in g cm⁻³: 5.7

=====

2.
A relaxed structure of Pr2Sm2BI5, computed with PBE.

Cell and atoms, written as CIF:
```
data_Pr2Sm2BI5
_chemical_formula_sum 'Pr4 Sm4 B2 I10'
_space_group_name_H-M_alt 'C 1 2/m 1'
_space_group_IT_number 12
_cell_length_a 19.425
_cell_length_b 4.188
_cell_length_c 9.016
_cell_angle_alpha 90.00
_cell_angle_beta 102.57
_cell_angle_gamma 90.00
loop_
_space_group_symop_operation_xyz
'x,y,z'
'-x,-y,-z'
'-x,y,-z'
'x,-y,z'
'x+1/2,y+1/2,z'
'-x+1/2,-y+1/2,-z'
'-x+1/2,y+1/2,-z'
'x+1/2,-y+1/2,z'
loop_
_atom_site_label
_atom_site_fract_x
_atom_site_fract_y
_atom_site_fract_z
Pr1 0.001 0.000 0.298
Sm1 0.137 0.500 0.570
B1 0.000 0.500 0.500
I1 0.000 0.500 0.000
I2 0.167 0.000 0.836
I3 0.173 0.000 0.331
```

Summary:
VASP energy in eV per atom: -4.443
Theoretical density in g cm⁻³: 5.7